# PrI2Br, relaxed, DFT GGA-PBE
# Energy (eV per atom): -3.9284
# Offset from the most stable computed form (eV/atom): 0.045
# ΔE_f (raw) (eV/atom): -1.54
data_PrI2Br
_chemical_formula_sum 'Pr1 I2 Br1'
_space_group_name_H-M_alt 'P 1'
_space_group_IT_number 1
_cell_length_a 4.098
_cell_length_b 7.535
_cell_length_c 7.534
_cell_angle_alpha 62.04
_cell_angle_beta 74.23
_cell_angle_gamma 74.23
loop_
_space_group_symop_operation_xyz
'x,y,z'
loop_
_atom_site_label
_atom_site_fract_x
_atom_site_fract_y
_atom_site_fract_z
Pr1 0.750 0.887 0.613
I1 0.081 0.895 0.943
I2 0.419 0.557 0.605
Br1 0.250 0.160 0.340